The following is a PBE-GGA calculation of crystalline Pm5Pr5Y at its relaxed geometry, from the Alexandria database.

Properties
The value obtained for the energy above the most stable polymorph in this dataset is 0 meV/atom. The space group is P-6m2 (187). As for the spin magnetization: 0.0 μB/f.u. The crystal system is hexagonal.

```
Pm5Pr5Y
1.0
6.2635 0.0000 0.0001
-3.1317 5.4243 0.0001
0.0003 0.0004 11.7395
Pm Pr Y
5 5 1
direct
0.3379 0.1689 0.5000
0.0000 0.0000 0.2648
0.8311 0.6621 0.5000
0.8311 0.1689 0.5000
0.0000 0.0000 0.7352
0.6667 0.3333 0.1574
0.6667 0.3333 0.8426
0.3333 0.6667 0.3179
0.3333 0.6667 0.6821
0.0000 0.0000 0.0000
0.3333 0.6667 0.0000
```

The following is a PBE-GGA calculation of crystalline PmPr3Y4 at its relaxed geometry, from the Alexandria database.

Properties
The value obtained for the energy above the most stable polymorph in this dataset is 106 meV/atom. The space group is Immm (71). As for the spin magnetization: 0.0 μB/f.u. The crystal system is orthorhombic.

```
PmPr3Y4
1.0
-2.6141 0.9811 2.0972
-0.1647 -6.8656 5.9140
4.5715 3.9307 6.7668
Pr Y Pm
3 4 1
direct
0.7587 0.2413 0.2413
0.2413 0.7587 0.7587
0.0000 0.5000 0.5000
0.6340 0.1148 0.6171
0.3660 0.8852 0.3829
0.3660 0.3829 0.8852
0.6340 0.6171 0.1148
0.5000 0.0000 0.0000
```

The following is a PBE-GGA calculation of crystalline PmPr2Y at its relaxed geometry, from the Alexandria database.

Properties
The value obtained for the energy above the most stable polymorph in this dataset is 40 meV/atom. The space group is Amm2 (38). As for the spin magnetization: 0.0 μB/f.u. The crystal system is orthorhombic.

```
PmPr2Y
1.0
-0.8293 -2.3501 -2.6070
5.1224 0.8503 -2.3959
2.9870 -3.8536 5.0184
Pm Pr Y
1 2 1
direct
0.8065 0.5000 0.6131
0.0615 0.5000 0.1230
0.1866 0.0000 0.3733
0.4453 0.0000 0.8907
```

The following is a PBE-GGA calculation of crystalline Pm2Pr3Y2 at its relaxed geometry, from the Alexandria database.

Properties
The value obtained for the energy above the most stable polymorph in this dataset is 56 meV/atom. The space group is C2/m (12). As for the spin magnetization: 0.0 μB/f.u. The crystal system is monoclinic.

```
Pm2Pr3Y2
1.0
3.5727 0.0000 0.0000
0.0000 8.6770 -0.7287
-1.7864 -3.6341 8.1853
Pm Pr Y
2 3 2
direct
0.5647 0.9109 0.1294
0.4353 0.0891 0.8706
0.0000 0.5000 0.0000
0.2131 0.7971 0.4262
0.7869 0.2029 0.5738
0.8539 0.6701 0.7079
0.1461 0.3299 0.2921
```

The following is a PBE-GGA calculation of crystalline Pm3Pr3Y8 at its relaxed geometry, from the Alexandria database.

Properties
The value obtained for the energy above the most stable polymorph in this dataset is 8 meV/atom. The space group is Immm (71). As for the spin magnetization: 0.0 μB/f.u. The crystal system is orthorhombic.

```
Pm3Pr3Y8
1.0
-3.5378 -2.5168 -3.7677
5.5483 -3.1238 -7.5086
-3.1167 -8.3733 4.1346
Pm Pr Y
3 3 8
direct
0.5000 0.0000 0.0000
0.0000 0.8125 0.1875
0.0000 0.1875 0.8125
0.5000 0.5000 0.5000
0.8071 0.1929 0.1929
0.1929 0.8071 0.8071
0.6610 0.1189 0.5591
0.3390 0.8811 0.4409
0.6610 0.5591 0.1189
0.3390 0.4409 0.8811
0.8390 0.7635 0.5584
0.1610 0.2365 0.4416
0.8390 0.5584 0.7635
0.1610 0.4416 0.2365
```

The following is a PBE-GGA calculation of crystalline Pm3Pr4Y at its relaxed geometry, from the Alexandria database.

Properties
The space group is C2/m (12). As for the spin magnetization: 0.0 μB/f.u. The crystal system is monoclinic.

```
Pm3Pr4Y
1.0
3.5233 0.0000 -0.4445
-0.1800 6.8268 -1.4267
-0.2697 -1.0384 12.0474
Pr Y Pm
4 1 3
direct
0.7417 0.2383 0.4834
0.2583 0.7617 0.5166
0.1237 0.3646 0.2473
0.8763 0.6354 0.7527
0.5000 0.0000 0.0000
0.0000 0.5000 0.0000
0.1232 0.8826 0.2463
0.8768 0.1174 0.7537
```

The following is a PBE-GGA calculation of crystalline Pm12Pr5Y2 at its relaxed geometry, from the Alexandria database.

Properties
The value obtained for the energy above the most stable polymorph in this dataset is 47 meV/atom. The space group is C2/m (12). As for the spin magnetization: 0.0 μB/f.u. The crystal system is monoclinic.

```
Pm12Pr5Y2
1.0
-4.8697 -2.3111 -4.7463
-3.5771 -0.5579 9.3758
-6.0503 8.5416 2.0487
Pm Pr Y
12 5 2
direct
0.9741 0.9482 0.2472
0.0884 0.6818 0.8685
0.5934 0.6818 0.8685
0.0863 0.6681 0.5229
0.5818 0.6681 0.5229
0.5004 0.0008 0.6768
0.4996 0.9992 0.3232
0.9137 0.3319 0.4771
0.4182 0.3319 0.4771
0.9116 0.3182 0.1315
0.4066 0.3182 0.1315
0.0259 0.0518 0.7528
0.1863 0.3726 0.8160
0.3241 0.6482 0.2106
0.0000 0.0000 0.5000
0.6759 0.3518 0.7894
0.8137 0.6274 0.1840
0.7270 0.0000 0.0000
0.2730 0.0000 0.0000
```

The following is a PBE-GGA calculation of crystalline Pm6Pr3Y2 at its relaxed geometry, from the Alexandria database.

Properties
The value obtained for the energy above the most stable polymorph in this dataset is 484 meV/atom. The space group is I4/mmm (139). As for the spin magnetization: 0.0 μB/f.u. The crystal system is tetragonal.

```
Pm6Pr3Y2
1.0
5.9254 0.0000 0.0000
0.0000 5.9254 0.0000
-2.9627 -2.9627 11.4684
Pm Pr Y
6 3 2
direct
0.1086 0.6086 0.2173
0.6086 0.1086 0.2173
0.8914 0.3914 0.7827
0.3914 0.8914 0.7827
0.7116 0.7116 0.4232
0.2884 0.2884 0.5768
0.0000 0.0000 0.0000
0.8455 0.8455 0.6910
0.1545 0.1545 0.3090
0.4367 0.4367 0.8735
0.5633 0.5633 0.1265
```

no.,DFT formation energy (eV per formula unit)
1,3.00
2,1.03
3,0.20
4,0.74
5,1.62
6,1.15
7,3.19
8,5.46